a | # PBE LaSc2PtO, relaxed
data_LaSc2PtO
_cell_length_a 4.3575
_cell_length_b 4.3575
_cell_length_c 5.0132
_cell_angle_alpha 90.00
_cell_angle_beta 90.00
_cell_angle_gamma 90.00
_symmetry_space_group_name_H-M 'P 4/m m m'
_symmetry_Int_Tables_number 123
_symmetry_space_group_name_Hall '-P 4 2'
loop_
_atom_site_label
_atom_site_fract_x
_atom_site_fract_y
_atom_site_fract_z
La1 0.0000 0.0000 0.0000
Sc1 0.0000 0.5000 0.5000
Pt1 0.5000 0.5000 0.0000
O1 0.0000 0.0000 0.5000
# Total magnetic moment in μB per formula unit: 0.0
# DOS at the Fermi energy in states/eV/cell: 4.982



b | # PBE LaSc2PtO, relaxed
data_LaSc2PtO
_cell_length_a 4.9166
_cell_length_b 4.9166
_cell_length_c 5.9848
_cell_angle_alpha 90.00
_cell_angle_beta 90.00
_cell_angle_gamma 90.00
_symmetry_space_group_name_H-M 'P 4/m m m'
_symmetry_Int_Tables_number 123
_symmetry_space_group_name_Hall '-P 4 2'
loop_
_atom_site_label
_atom_site_fract_x
_atom_site_fract_y
_atom_site_fract_z
La1 0.0000 0.0000 0.0000
Sc1 0.0000 0.5000 0.5000
Pt1 0.0000 0.0000 0.5000
O1 0.5000 0.5000 0.0000
# Total magnetic moment in μB per formula unit: 0.0
# DOS at the Fermi energy in states/eV/cell: 5.263



The structure with the least stability is b.



a | # PBE La2PuO, relaxed
data_La2PuO
_cell_length_a 3.2109
_cell_length_b 3.2109
_cell_length_c 8.8905
_cell_angle_alpha 90.00
_cell_angle_beta 90.00
_cell_angle_gamma 90.00
_symmetry_space_group_name_H-M 'P 4/m m m'
_symmetry_Int_Tables_number 123
_symmetry_space_group_name_Hall '-P 4 2'
loop_
_atom_site_label
_atom_site_fract_x
_atom_site_fract_y
_atom_site_fract_z
La1 0.0000 0.0000 0.1795
Pu1 0.5000 0.5000 0.5000
O1 0.5000 0.5000 0.0000
# Total magnetic moment in μB per formula unit: 6.3
# DOS at the Fermi energy in states/eV/cell: 9.595



b | # PBE La2PuO, relaxed
data_La2PuO
_cell_length_a 3.6161
_cell_length_b 3.6161
_cell_length_c 27.9882
_cell_angle_alpha 90.00
_cell_angle_beta 90.00
_cell_angle_gamma 120.00
_symmetry_space_group_name_H-M 'R -3 m'
_symmetry_Int_Tables_number 166
_symmetry_space_group_name_Hall '-R 3 2"'
loop_
_atom_site_label
_atom_site_fract_x
_atom_site_fract_y
_atom_site_fract_z
La1 0.0000 0.0000 0.1151
Pu1 0.0000 0.0000 0.0000
O1 0.0000 0.0000 0.5000
# Total magnetic moment in μB per formula unit: 6.1
# DOS at the Fermi energy in states/eV/cell: 33.585



The structure with the least stability is a.